(1)
Below is an optimized crystal structure of Dy6AlGe2, with properties calculated at the PBE level.

Summary:
SG: Immm (71)
Formation energy (meV per atom): -536
D(E_F) (states/eV per atom): 0.7726

```
18
Lattice="-4.7809 4.8168 5.1220 4.7809 -4.8168 5.1220 4.7809 4.8168 -5.1220" Properties=species:S:1:pos:R:3 pbc="T T T"
Dy 4.7809 -2.8287 3.3456
Dy 2.9039 0.0000 2.5827
Dy 6.6579 0.0000 2.5827
Dy 3.0690 2.6221 0.0000
Dy 6.4928 2.6221 0.0000
Dy 0.0000 1.9882 1.7764
Dy 4.7809 2.8287 3.3456
Dy -1.7119 2.1948 5.1220
Dy 1.7119 2.1948 5.1220
Dy -1.8770 4.8168 2.5394
Dy 1.8770 4.8168 2.5394
Dy 0.0000 7.6455 1.7764
Al 4.7809 0.0000 0.0000
Al 0.0000 4.8168 0.0000
Ge 1.4987 0.0000 0.0000
Ge 8.0631 0.0000 0.0000
Ge 0.0000 0.0000 3.8611
Ge 0.0000 0.0000 6.3829
```

=====

(2)
Below is an optimized crystal structure of Dy2Al3Ge, with properties calculated at the PBE level.

Summary:
SG: Pmm2 (25)
Formation energy (meV per atom): -528
D(E_F) (states/eV per atom): 0.4445

```
6
Lattice="3.8810 0.0000 0.0000 0.0000 4.3448 0.0000 0.0000 0.0000 7.5222" Properties=species:S:1:pos:R:3 pbc="T T T"
Dy 0.0000 0.0000 0.0000
Dy 0.0000 2.1724 3.6550
Al 1.9405 0.0000 4.9451
Al 1.9405 2.1724 1.1990
Al 1.9405 2.1724 6.2010
Ge 1.9405 0.0000 2.4619
```

=====

(3)
Below is an optimized crystal structure of Dy2AlGe, with properties calculated at the PBE level.

Summary:
SG: P2_1/m (11)
Formation energy (meV per atom): -687
D(E_F) (states/eV per atom): 0.8602

```
8
Lattice="5.8637 0.0000 0.0000 0.0000 4.0078 0.0000 -2.5700 0.0000 8.1347" Properties=species:S:1:pos:R:3 pbc="T T T"
Dy 0.1063 1.0020 3.4587
Dy 1.4982 3.0059 0.5471
Dy 1.7954 1.0020 7.5876
Dy 3.1873 3.0059 4.6760
Al 0.3072 3.0059 5.7903
Al 2.9864 1.0020 2.3444
Ge -1.2381 1.0020 6.4442
Ge 4.5317 3.0059 1.6904
```

=====

(4)
Below is an optimized crystal structure of Dy3AlGe2, with properties calculated at the PBE level.

Summary:
SG: Pnma (62)
Formation energy (meV per atom): -706
D(E_F) (states/eV per atom): 0.5997

```
24
Lattice="11.6020 0.0000 0.0000 0.0000 4.1951 0.0000 0.0000 0.0000 11.5975" Properties=species:S:1:pos:R:3 pbc="T T T"
Dy 0.6467 1.0488 1.3783
Dy 1.4650 3.1463 6.5303
Dy 2.3350 1.0488 9.2757
Dy 3.4660 3.1463 3.4769
Dy 4.3361 1.0488 0.7315
Dy 5.1544 3.1463 7.1771
Dy 6.4477 1.0488 4.4205
Dy 7.2660 3.1463 10.8660
Dy 8.1360 1.0488 8.1206
Dy 9.2671 3.1463 2.3219
Dy 10.1371 1.0488 5.0673
Dy 10.9554 3.1463 10.2192
Al 1.5547 1.0488 4.2708
Al 4.2463 3.1463 10.0696
Al 7.3557 1.0488 1.5279
Al 10.0473 3.1463 7.3267
Ge 0.2253 3.1463 3.6496
Ge 2.1635 3.1463 11.5720
Ge 3.6375 1.0488 5.7732
Ge 5.5757 1.0488 9.4484
Ge 6.0264 3.1463 2.1492
Ge 7.9645 3.1463 5.8243
Ge 9.4385 1.0488 0.0256
Ge 11.3767 1.0488 7.9479
```